1.
The following is a PBE calculation of an optimized crystal structure of PmPtAu, from Alexandria via LeMat-Bulk.

Unit cell a=6.681 b=6.681 c=6.681 alpha=90.00 beta=90.00 gamma=90.00
Space group F-43m (No. 216)
Unique sites:
Pm: 0.000 0.000 0.000 [4 per cell]
Pt: 0.250 0.250 0.750 [4 per cell]
Au: 0.000 0.000 0.500 [4 per cell]

Computed properties:
Crystal system: cubic
Energy above the lowest structure with this stoichiometry in eV/atom: 0.100

---

2.
The following is a PBE calculation of an optimized crystal structure of Pm6PtAu2, from Alexandria via LeMat-Bulk.

Unit cell a=6.847 b=7.535 c=12.257 alpha=90.00 beta=120.37 gamma=90.00
Space group P2_1/c (No. 14)
Unique sites:
Pm: 0.100 0.195 0.433 [4 per cell]
Pm: 0.258 0.673 0.432 [4 per cell]
Pm: 0.392 0.035 0.241 [4 per cell]
Pt: 0.500 0.000 0.500 [2 per cell]
Au: 0.172 0.112 0.732 [4 per cell]

Computed properties:
Crystal system: monoclinic

---

3.
The following is a PBE calculation of an optimized crystal structure of Pm5Pt2Au5, from Alexandria via LeMat-Bulk.

Unit cell a=16.854 b=4.149 c=11.644 alpha=90.00 beta=133.58 gamma=90.00
Space group C2/m (No. 12)
Unique sites:
Pm: 0.000 0.000 0.000 [2 per cell]
Pm: 0.106 0.000 0.408 [4 per cell]
Pm: 0.193 0.000 0.814 [4 per cell]
Pt: 0.131 0.500 0.255 [4 per cell]
Au: 0.000 0.500 0.500 [2 per cell]
Au: 0.080 0.500 0.859 [4 per cell]
Au: 0.232 0.500 0.672 [4 per cell]

Computed properties:
Crystal system: monoclinic

---

| no. | calculated formation energy (eV/atom) |
| --- | --- |
| 1 | -0.81 |
| 2 | -0.57 |
| 3 | -0.87 |